A plane-wave DFT calculation with PBE was carried out for a relaxed structure of HgGeI4.

Calculated values
E: -25.4 eV/cell
SG: P2_1/c (14)

a b c (Å): 4.334 7.499 14.969
angles (deg): 89.43 90.00 90.00
Sites, in units of the cell vectors:
Hg  0.500  0.500  0.500
Hg  0.000  0.000  0.000
Ge  0.000  0.000  0.500
Ge  0.500  0.500  0.000
I  0.500  0.161  0.382
I  0.000  0.339  0.118
I  0.500  0.839  0.618
I  0.000  0.661  0.882
I  0.996  0.670  0.383
I  0.496  0.830  0.117
I  0.004  0.330  0.617
I  0.504  0.170  0.883

A plane-wave DFT calculation with PBE was carried out for a relaxed structure of TlReAs2Au.

Calculated values
calculated formation energy: 1.39 eV/atom
E: -20.5 eV/cell
SG: P4/mmm (123)

a b c (Å): 5.020 5.296 5.020
angles (deg): 90.00 90.00 90.00
Sites, in units of the cell vectors:
Re  0.000  0.500  0.000
Tl  0.500  0.500  0.500
Au  0.000  0.000  0.000
As  0.000  0.000  0.500
As  0.500  0.000  0.000

A plane-wave DFT calculation with PBE was carried out for a relaxed structure of K2TlMo.

Calculated values
calculated formation energy: 1.08 eV/atom
E: -11.1 eV/cell
polymorph energy (0 for the lowest one): 314 meV per atom
SG: R-3m (166)

a b c (Å): 12.643 12.643 12.643
angles (deg): 14.59 14.59 14.59
Sites, in units of the cell vectors:
K  0.997  0.997  0.997
K  0.503  0.503  0.503
Mo  0.250  0.250  0.250
Tl  0.750  0.750  0.750

A plane-wave DFT calculation with PBE was carried out for a relaxed structure of Tb3AgN.

Calculated values
E: -28.7 eV/cell
polymorph energy (0 for the lowest one): 66 meV per atom
SG: Pm-3m (221)

a b c (Å): 4.820 4.820 4.820
angles (deg): 90.00 90.00 90.00
Sites, in units of the cell vectors:
Tb  0.000  0.500  0.000
Tb  0.000  0.000  0.500
Tb  0.500  0.000  0.000
Ag  0.500  0.500  0.500
N  0.000  0.000  0.000

A plane-wave DFT calculation with PBE was carried out for a relaxed structure of Ba6TlHg3.

Calculated values
calculated formation energy: -0.38 eV/atom
E: -37.2 eV/cell
SG: P2_1/m (11)

a b c (Å): 5.834 10.861 14.019
angles (deg): 105.62 90.00 90.00
Sites, in units of the cell vectors:
Ba  0.250  0.533  0.127
Ba  0.750  0.467  0.873
Ba  0.250  0.111  0.166
Ba  0.750  0.889  0.834
Ba  0.250  0.625  0.702
Ba  0.750  0.375  0.298
Ba  0.250  0.278  0.484
Ba  0.750  0.722  0.516
Ba  0.250  0.872  0.366
Ba  0.750  0.128  0.634
Ba  0.250  0.145  0.894
Ba  0.750  0.855  0.106
Tl  0.250  0.932  0.651
Tl  0.750  0.068  0.349
Hg  0.250  0.551  0.386
Hg  0.750  0.449  0.614
Hg  0.250  0.326  0.737
Hg  0.750  0.674  0.263
Hg  0.250  0.803  0.960
Hg  0.750  0.197  0.040

A plane-wave DFT calculation with PBE was carried out for a relaxed structure of NdTe2Pb.

Calculated values
E: -18.0 eV/cell
SG: P4/mmm (123)

a b c (Å): 3.977 3.977 7.755
angles (deg): 90.00 90.00 90.00
Sites, in units of the cell vectors:
Pb  0.500  0.500  0.500
Te  0.000  0.000  0.768
Te  0.000  0.000  0.232
Nd  0.500  0.500  0.000

A plane-wave DFT calculation with PBE was carried out for a relaxed structure of La2FeHgN.

Calculated values
E: -30.1 eV/cell
polymorph energy (0 for the lowest one): 0 meV per atom
SG: P4/mmm (123)

a b c (Å): 5.406 5.406 3.650
angles (deg): 90.00 90.00 90.00
Sites, in units of the cell vectors:
Fe  0.000  0.000  0.500
N  0.000  0.000  0.000
Hg  0.500  0.500  0.500
La  0.000  0.500  0.000
La  0.500  0.000  0.000

A plane-wave DFT calculation with PBE was carried out for a relaxed structure of AcGeRh.

Calculated values
calculated formation energy: -0.49 eV/atom
E: -17.5 eV/cell
polymorph energy (0 for the lowest one): 376 meV per atom
SG: F-43m (216)

a b c (Å): 4.774 4.774 4.774
angles (deg): 60.00 60.00 60.00
Sites, in units of the cell vectors:
Ac  0.000  0.000  0.000
Rh  0.250  0.250  0.250
Ge  0.500  0.500  0.500

A plane-wave DFT calculation with PBE was carried out for a relaxed structure of Pd8Pt6Rh.

Calculated values
calculated formation energy: 0.22 eV/atom
E: -81.9 eV/cell
SG: R-3 (148)

a b c (Å): 7.385 7.385 6.844
angles (deg): 57.35 57.35 60.00
Sites, in units of the cell vectors:
Pd  0.584  0.170  0.387
Pd  0.830  0.141  0.613
Pd  0.141  0.416  0.613
Pd  0.749  0.749  0.752
Pd  0.251  0.251  0.248
Pd  0.859  0.584  0.387
Pd  0.170  0.859  0.387
Pd  0.416  0.830  0.613
Pt  0.370  0.071  0.887
Pt  0.929  0.327  0.113
Pt  0.327  0.630  0.113
Pt  0.673  0.370  0.887
Pt  0.071  0.673  0.887
Pt  0.630  0.929  0.113
Rh  0.000  0.000  0.000

A plane-wave DFT calculation with PBE was carried out for a relaxed structure of AlIn5Br8.

Calculated values
E: -41.9 eV/cell
SG: I-4 (82)

a b c (Å): 9.390 9.390 9.390
angles (deg): 89.99 120.00 120.00
Sites, in units of the cell vectors:
Al  0.500  0.750  0.250
In  0.744  0.618  0.871
In  0.253  0.126  0.382
In  0.256  0.127  0.874
In  0.000  0.500  0.500
In  0.747  0.129  0.873
Br  0.299  0.446  0.150
Br  0.705  0.853  0.554
Br  0.723  0.362  0.084
Br  0.721  0.361  0.638
Br  0.279  0.916  0.640
Br  0.295  0.850  0.149
Br  0.701  0.851  0.147
Br  0.277  0.360  0.639

A plane-wave DFT calculation with PBE was carried out for a relaxed structure of LaSmPuO6.

Calculated values
E: -162.2 eV/cell
SG: P-31c (163)

a b c (Å): 5.894 5.894 9.793
angles (deg): 90.00 90.00 120.00
Sites, in units of the cell vectors:
La  0.000  0.000  0.000
La  0.000  0.000  0.500
Sm  0.333  0.667  0.250
Sm  0.667  0.333  0.750
Pu  0.667  0.333  0.250
Pu  0.333  0.667  0.750
O  0.664  0.631  0.137
O  0.967  0.336  0.137
O  0.336  0.967  0.637
O  0.033  0.664  0.863
O  0.369  0.336  0.363
O  0.967  0.631  0.363
O  0.631  0.967  0.863
O  0.664  0.033  0.363
O  0.033  0.369  0.637
O  0.369  0.033  0.137
O  0.631  0.664  0.637
O  0.336  0.369  0.863

A plane-wave DFT calculation with PBE was carried out for a relaxed structure of Cs2KCa.

Calculated values
calculated formation energy: 0.16 eV/atom
E: -4.2 eV/cell
polymorph energy (0 for the lowest one): 0 meV per atom
SG: P4/mmm (123)

a b c (Å): 4.608 4.608 14.682
angles (deg): 90.00 90.00 90.00
Sites, in units of the cell vectors:
Cs  0.000  0.000  0.772
Cs  0.000  0.000  0.228
Ca  0.500  0.500  0.000
K  0.500  0.500  0.500